1.
A plane-wave DFT calculation with GGA-PBE was carried out for an optimized crystal structure of ErZn8Ir4.

Cell: 6.6924 6.6924 6.6924 Å, 100.16 100.16 130.33°
Element x y z (fractional)
Er  0.0000  0.0000  0.0000
Zn  0.0000  0.3346  0.3346
Zn  0.0000  0.6654  0.6654
Zn  0.2752  0.5000  0.7752
Zn  0.3346  0.0000  0.3346
Zn  0.5000  0.2752  0.7752
Zn  0.5000  0.7248  0.2248
Zn  0.6654  0.0000  0.6654
Zn  0.7248  0.5000  0.2248
Ir  0.0000  0.0000  0.5000
Ir  0.0000  0.5000  0.0000
Ir  0.5000  0.0000  0.0000
Ir  0.5000  0.5000  0.5000

Output
- Total magnetization: 0.000 μB per atom
- Space group: No. 139
- Total DFT energy (no corrections): -4.19 eV/atom
- DFT formation energy: -0.33 eV per atom

2.
A plane-wave DFT calculation with GGA-PBE was carried out for an optimized crystal structure of SrSn2Te3.

Cell: 4.3651 11.9195 7.9678 Å, 90.00 90.00 90.00°
Element x y z (fractional)
Sr  0.0000  0.1277  0.0000
Sr  0.0000  0.8723  0.5000
Sn  0.0000  0.1808  0.4591
Sn  0.0000  0.8192  0.9591
Sn  0.5000  0.4924  0.4893
Sn  0.5000  0.5076  0.9893
Te  0.0000  0.3745  0.6920
Te  0.0000  0.6255  0.1920
Te  0.5000  0.0596  0.6906
Te  0.5000  0.2936  0.2082
Te  0.5000  0.7064  0.7082
Te  0.5000  0.9404  0.1906

Output
- Formation energy from raw total energies: -0.694 eV/atom
- Total magnetization: 0.000 μB per atom
- Distance to the lowest polymorph of the same formula: 49.7 meV per atom
- Space group: No. 26
- Total DFT energy (no corrections): -3.88 eV/atom

3.
A plane-wave DFT calculation with GGA-PBE was carried out for an optimized crystal structure of MoAs4W.

Cell: 5.2836 5.2836 5.2836 Å, 60.00 60.00 60.00°
Element x y z (fractional)
Mo  0.0000  0.0000  0.0000
As  0.3750  0.3750  0.3750
As  0.3750  0.3750  0.8749
As  0.3750  0.8749  0.3750
As  0.8749  0.3750  0.3750
W  0.7500  0.7500  0.7500

Output
- Total magnetization: 0.000 μB per atom
- Space group: No. 216
- Total DFT energy (no corrections): -5.98 eV/atom
- DFT formation energy: 1.08 eV per atom

4.
A plane-wave DFT calculation with GGA-PBE was carried out for an optimized crystal structure of CeTeH2.

Cell: 6.0080 6.0080 6.1166 Å, 90.00 90.00 141.24°
Element x y z (fractional)
Ce  0.2066  0.7934  0.7500
Ce  0.7934  0.2066  0.2500
Te  0.0780  0.9220  0.2500
Te  0.9220  0.0780  0.7500
H  0.3114  0.6886  0.0658
H  0.3114  0.6886  0.4342
H  0.6886  0.3114  0.5658
H  0.6886  0.3114  0.9342

Output
- Total magnetization: 0.040 μB per atom
- Distance to the lowest polymorph of the same formula: 43.6 meV per atom
- Space group: No. 63
- Total DFT energy (no corrections): -4.64 eV/atom

5.
A plane-wave DFT calculation with GGA-PBE was carried out for an optimized crystal structure of Y2AlTl.

Cell: 5.2696 5.2696 3.6899 Å, 90.00 90.00 90.00°
Element x y z (fractional)
Y  0.0000  0.5000  0.0000
Y  0.5000  0.0000  0.0000
Al  0.0000  0.0000  0.5000
Tl  0.5000  0.5000  0.5000

Output
- Total magnetization: 0.000 μB per atom
- Space group: No. 123
- Total DFT energy (no corrections): -5.12 eV/atom
- DFT formation energy: -0.36 eV per atom

6.
A plane-wave DFT calculation with GGA-PBE was carried out for an optimized crystal structure of ScTlAgBr6.

Cell: 6.9954 6.9954 7.1334 Å, 92.57 92.57 115.85°
Element x y z (fractional)
Sc  0.0000  0.0000  0.0000
Tl  0.6742  0.3258  0.5000
Ag  0.3443  0.6557  0.0000
Br  0.0350  0.3022  0.2424
Br  0.0556  0.7042  0.7759
Br  0.2958  0.9444  0.2241
Br  0.2980  0.3000  0.8076
Br  0.6978  0.9650  0.7576
Br  0.7000  0.7020  0.1924

Output
- Formation energy from raw total energies: -1.004 eV/atom
- Total magnetization: 0.050 μB per atom
- Space group: No. 5
- Total DFT energy (no corrections): -3.40 eV/atom

7.
A plane-wave DFT calculation with GGA-PBE was carried out for an optimized crystal structure of Mg3SiS.

Cell: 4.7343 4.7343 4.7343 Å, 90.00 90.00 90.00°
Element x y z (fractional)
Mg  0.0000  0.0000  0.5000
Mg  0.0000  0.5000  0.0000
Mg  0.5000  0.0000  0.0000
Si  0.5000  0.5000  0.5000
S  0.0000  0.0000  0.0000

Output
- Formation energy from raw total energies: -0.108 eV/atom
- Total magnetization: 0.000 μB per atom
- Space group: No. 221
- Total DFT energy (no corrections): -2.97 eV/atom

8.
A plane-wave DFT calculation with GGA-PBE was carried out for an optimized crystal structure of YMg2W.

Cell: 4.9119 4.9119 4.9119 Å, 60.00 60.00 60.00°
Element x y z (fractional)
Y  0.0000  0.0000  0.0000
Mg  0.2500  0.2500  0.2500
Mg  0.7500  0.7500  0.7500
W  0.5000  0.5000  0.5000

Output
- Total magnetization: 0.238 μB per atom
- Distance to the lowest polymorph of the same formula: 191.2 meV per atom
- Space group: No. 225
- Total DFT energy (no corrections): -5.11 eV/atom
- DFT formation energy: 0.54 eV per atom